This record from Alexandria via LeMat-Bulk describes a relaxed Nb2WO8 crystal. The functional is GGA+U.

Computed properties:
calculated total energy	-8.087	eV per atom
N(E_F)	0.00	states/eV per atom
crystal system	monoclinic

CIF file:
```
data_Nb2WO8
_chemical_formula_sum 'Nb4 W2 O16'
_cell_length_a 9.6652
_cell_length_b 8.5759
_cell_length_c 5.4435
_cell_angle_alpha 90.00
_cell_angle_beta 98.84
_cell_angle_gamma 90.00
_space_group_name_H-M_alt 'C 1 2/m 1'
_space_group_IT_number 12
loop_
_space_group_symop_operation_xyz
'x,y,z'
'-x,-y,-z'
'-x,y,-z'
'x,-y,z'
'x+1/2,y+1/2,z'
'-x+1/2,-y+1/2,-z'
'-x+1/2,y+1/2,-z'
'x+1/2,-y+1/2,z'
loop_
_atom_site_label
_atom_site_type_symbol
_atom_site_fract_x
_atom_site_fract_y
_atom_site_fract_z
_atom_site_occupancy
Nb1 Nb 0.2059 0.0000 0.1535 1
W1 W 0.0000 0.0000 0.5000 1
O1 O 0.1120 0.1505 0.3424 1
O2 O 0.1124 0.5000 0.7720 1
O3 O 0.1410 0.0000 0.7977 1
```